# 1
# PrZn4Ir | Alexandria via LeMat-Bulk | PBE | relaxed
# - Offset from the most stable computed form: 24.8 kJ/mol of atoms
data_PrZn4Ir
_chemical_formula_sum 'Pr2 Zn8 Ir2'
_cell_length_a 7.771
_cell_length_b 6.237
_cell_length_c 6.356
_cell_angle_alpha 90.00
_cell_angle_beta 116.85
_cell_angle_gamma 90.00
_space_group_name_H-M_alt 'C 1 2/m 1'
_space_group_IT_number 12
loop_
_space_group_symop_operation_xyz
'x,y,z'
'-x,-y,-z'
'-x,y,-z'
'x,-y,z'
'x+1/2,y+1/2,z'
'-x+1/2,-y+1/2,-z'
'-x+1/2,y+1/2,-z'
'x+1/2,-y+1/2,z'
loop_
_atom_site_label
_atom_site_type_symbol
_atom_site_fract_x
_atom_site_fract_y
_atom_site_fract_z
Pr1 Pr 0.000 0.000 0.000
Zn1 Zn 0.170 0.500 0.140
Zn2 Zn 0.250 0.250 0.500
Ir1 Ir 0.000 0.000 0.500

***

# 2
# Pr2Zn5Ir5 | Alexandria via LeMat-Bulk | PBE | relaxed
# - VASP energy: -5.45 eV/atom
data_Pr2Zn5Ir5
_chemical_formula_sum 'Pr2 Zn5 Ir5'
_cell_length_a 4.096
_cell_length_b 5.593
_cell_length_c 9.230
_cell_angle_alpha 90.00
_cell_angle_beta 90.00
_cell_angle_gamma 90.00
_space_group_name_H-M_alt 'P m m m'
_space_group_IT_number 47
loop_
_space_group_symop_operation_xyz
'x,y,z'
'-x,-y,-z'
'-x,-y,z'
'x,y,-z'
'x,-y,-z'
'-x,y,z'
'-x,y,-z'
'x,-y,z'
loop_
_atom_site_label
_atom_site_type_symbol
_atom_site_fract_x
_atom_site_fract_y
_atom_site_fract_z
Pr1 Pr 0.000 0.000 0.000
Pr2 Pr 0.000 0.500 0.500
Zn1 Zn 0.000 0.000 0.330
Zn2 Zn 0.000 0.500 0.169
Zn3 Zn 0.500 0.000 0.500
Ir1 Ir 0.500 0.245 0.250
Ir2 Ir 0.500 0.500 0.000